Record 1
Mg2ScTl3 PBE relaxed; energy relative to the elements = -0.1222 eV/atom; SG = Cmmm; N(E_F) = 3.418 states/eV/cell; energy above the most stable polymorph in this dataset = 0.000 eV/atom
1.0
-2.678 0.912 2.342
-0.434 -4.867 1.400
5.459 3.564 4.853
Mg Sc Tl
2 1 3
Direct
0.000 0.667 0.335 Mg
0.000 0.333 0.665 Mg
0.000 0.000 0.000 Sc
0.500 0.167 0.333 Tl
0.500 0.500 0.000 Tl
0.500 0.833 0.667 Tl



Record 2
NaBiC2O PBE relaxed; SG = P4/mmm; uncorrected energy = -0.2554 Ry per atom; N(E_F) = 2.823 states/eV/cell
1.0
-3.094 -1.182 -2.707
-1.344 -2.756 2.739
-2.602 2.946 1.688
Na C Bi O
1 2 1 1
Direct
0.000 0.000 0.000 Na
0.000 0.000 0.500 C
0.500 0.000 0.000 C
0.500 0.500 0.500 Bi
0.000 0.500 0.000 O



Record 3
Rb3Pu2AuSe6 PBE relaxed; SG = C2/m; uncorrected energy = -0.4208 Ry per atom; N(E_F) = 15.719 states/eV/cell
1.0
-6.101 4.518 0.042
3.277 -2.800 6.249
5.570 5.792 -1.586
Rb Pu Au Se
3 2 1 6
Direct
0.152 0.848 0.500 Rb
0.848 0.152 0.500 Rb
0.500 0.500 0.500 Rb
0.333 0.667 0.000 Pu
0.667 0.333 0.000 Pu
0.000 0.000 0.000 Au
0.938 0.563 0.793 Se
0.744 0.744 0.171 Se
0.062 0.437 0.207 Se
0.563 0.938 0.793 Se
0.256 0.256 0.829 Se
0.437 0.062 0.207 Se



Record 4
InAg3F6 PBE relaxed; SG = P2_1/c; energy above the most stable polymorph in this dataset = 0.000 eV/atom
1.0
-0.107 -1.763 -5.881
-4.538 -3.706 1.193
-10.110 2.768 -0.646
In Ag F
2 6 12
Direct
0.000 0.000 0.000 In
0.500 0.000 0.500 In
0.000 0.500 0.500 Ag
0.500 0.500 0.000 Ag
0.562 0.282 0.742 Ag
0.438 0.718 0.258 Ag
0.062 0.718 0.758 Ag
0.938 0.282 0.242 Ag
0.279 0.250 0.917 F
0.721 0.750 0.083 F
0.779 0.750 0.583 F
0.221 0.250 0.417 F
0.931 0.089 0.779 F
0.069 0.911 0.221 F
0.431 0.911 0.721 F
0.569 0.089 0.279 F
0.817 0.344 0.943 F
0.183 0.656 0.057 F
0.317 0.656 0.557 F
0.683 0.344 0.443 F



Record 5
Ca2YCd5 PBE relaxed; energy relative to the elements = -0.3044 eV/atom; SG = I4/mmm; N(E_F) = 4.956 states/eV/cell
1.0
5.259 0.000 0.000
0.000 5.259 0.000
-2.629 -2.629 7.455
Ca Y Cd
2 1 5
Direct
0.742 0.742 0.485 Ca
0.258 0.258 0.515 Ca
0.000 0.000 0.000 Y
0.500 0.500 0.000 Cd
0.882 0.382 0.764 Cd
0.382 0.882 0.764 Cd
0.118 0.618 0.236 Cd
0.618 0.118 0.236 Cd



Record 6
BaMnPb PBE relaxed; energy relative to the elements = 0.1971 eV/atom; SG = I4mm; N(E_F) = 2.721 states/eV/cell
1.0
-5.738 0.983 3.495
-6.320 -2.300 -0.935
6.603 -1.556 0.286
Ba Mn Pb
1 1 1
Direct
0.001 0.001 0.000 Ba
0.284 0.284 0.000 Mn
0.715 0.715 0.000 Pb



Record 7
RbMo3Pb PBE relaxed; energy relative to the elements = 3.1375 eV/atom; SG = Pm-3m; N(E_F) = 8.256 states/eV/cell; energy above the most stable polymorph in this dataset = 0.707 eV/atom
1.0
-4.076 2.548 0.313
-2.567 -4.049 -0.472
0.013 -0.566 4.784
Pb Mo Rb
1 3 1
Direct
0.500 0.500 0.500 Pb
0.000 0.500 0.000 Mo
0.000 0.000 0.500 Mo
0.500 0.000 0.000 Mo
0.000 0.000 0.000 Rb



Record 8
Hf2ThTl PBE relaxed; energy relative to the elements = 0.3851 eV/atom; SG = R-3m; N(E_F) = 4.636 states/eV/cell; energy above the most stable polymorph in this dataset = 0.301 eV/atom
1.0
3.219 0.000 0.000
1.610 2.788 0.000
1.610 0.929 11.375
Tl Hf Th
1 2 1
Direct
0.500 0.500 0.500 Tl
0.092 0.092 0.725 Hf
0.908 0.908 0.275 Hf
0.000 0.000 0.000 Th



Record 9
Cu2ReF PBE relaxed; SG = I-42d; N(E_F) = 4.801 states/eV/cell; energy above the most stable polymorph in this dataset = 0.000 eV/atom
1.0
6.586 0.000 0.000
0.000 6.586 0.000
3.293 3.293 2.363
Re Cu F
2 4 2
Direct
0.000 0.000 0.000 Re
0.750 0.250 0.500 Re
0.585 0.125 0.250 Cu
0.165 0.625 0.250 Cu
0.375 0.415 0.750 Cu
0.875 0.835 0.750 Cu
0.500 0.500 0.000 F
0.250 0.750 0.500 F



Record 10
NdGdSi PBE relaxed; SG = P3m1; N(E_F) = 1.689 states/eV/cell; energy above the most stable polymorph in this dataset = 0.151 eV/atom
1.0
4.229 0.000 0.000
0.000 4.704 0.000
0.000 -2.352 4.074
Si Gd Nd
1 1 1
Direct
0.048 0.000 0.000 Si
0.247 0.333 0.667 Gd
0.705 0.667 0.333 Nd



Record 11
CoCu2RuPt PBE relaxed; energy relative to the elements = 1.1042 eV/atom; SG = P4/mmm; N(E_F) = 7.148 states/eV/cell
1.0
-0.951 -3.257 2.692
2.771 -2.475 -2.015
3.130 1.311 2.692
Ru Co Cu Pt
1 1 2 1
Direct
0.000 0.500 0.000 Ru
0.000 0.000 0.000 Co
0.000 0.000 0.500 Cu
0.500 0.000 0.000 Cu
0.500 0.500 0.500 Pt



Record 12
CsLa2I PBE relaxed; SG = Fm-3m; uncorrected energy = -0.2102 Ry per atom; N(E_F) = 4.483 states/eV/cell
1.0
-2.869 -4.478 2.602
-0.322 -0.276 5.905
-5.160 0.980 2.733
Cs I La
1 1 2
Direct
0.500 0.500 0.500 Cs
0.000 0.000 0.000 I
0.250 0.250 0.250 La
0.750 0.750 0.750 La